Li4CuPd7 | Alexandria | PBE | optimized geometry; theoretical density = 7726 kg/m3; DOS(E_F) = 8.0 states/eV/f.u.; E_form = -22.76 kJ/mol of atoms; space group = No. 2; uncorrected energy = -50.93 eV for the cell shown; excess energy over the best structure of this formula in the dataset = 0.0 meV per atom
1.0
4.8603 0.0000 0.0000
-0.1115 4.9372 0.0000
-1.9907 -0.3450 7.4902
Li Cu Pd
4 1 7
Direct
0.1284 0.2535 0.2496
0.3716 0.6706 0.8054
0.6284 0.3294 0.1946
0.8716 0.7465 0.7504
0.5000 0.0000 0.5000
0.0374 0.2580 0.5863
0.2146 0.1263 0.9349
0.3374 0.7630 0.1911
0.5000 0.5000 0.5000
0.6626 0.2370 0.8089
0.7854 0.8737 0.0651
0.9626 0.7420 0.4137

Li5CuPd4 | Alexandria | PBE | optimized geometry; theoretical density = 6365 kg/m3; DOS(E_F) = 2.2 states/eV/f.u.; E_form = -35.30 kJ/mol of atoms; space group = No. 12; uncorrected energy = -38.10 eV for the cell shown; excess energy over the best structure of this formula in the dataset = 0.0 meV per atom
1.0
6.4151 -2.1380 0.0000
6.4151 2.1380 0.0000
-1.4270 0.0000 4.9831
Li Cu Pd
5 1 4
Direct
0.0000 0.0000 0.0000
0.2036 0.2036 0.3062
0.3970 0.3970 0.1158
0.6030 0.6030 0.8842
0.7964 0.7964 0.6938
0.0000 0.0000 0.5000
0.2016 0.2016 0.7987
0.4034 0.4034 0.6093
0.5966 0.5966 0.3907
0.7984 0.7984 0.2013

Li5CuPd2 | Alexandria | PBE | optimized geometry; theoretical density = 4581 kg/m3; DOS(E_F) = 2.3 states/eV/f.u.; E_form = -23.74 kJ/mol of atoms; space group = No. 139; uncorrected energy = -26.02 eV for the cell shown; excess energy over the best structure of this formula in the dataset = 23.3 meV per atom
1.0
-2.2085 2.2085 5.7802
2.2085 -2.2085 5.7802
2.2085 2.2085 -5.7802
Li Cu Pd
5 1 2
Direct
0.0000 0.0000 0.0000
0.1331 0.6331 0.5000
0.3669 0.8669 0.5000
0.6331 0.1331 0.5000
0.8669 0.3669 0.5000
0.5000 0.5000 0.0000
0.2568 0.2568 0.0000
0.7432 0.7432 0.0000

Li5CuPd2 | Alexandria | PBE | optimized geometry; theoretical density = 4610 kg/m3; DOS(E_F) = 3.0 states/eV/f.u.; E_form = -26.00 kJ/mol of atoms; space group = No. 55; uncorrected energy = -52.41 eV for the cell shown; excess energy over the best structure of this formula in the dataset = 0.0 meV per atom
1.0
5.3359 0.0000 0.0000
0.0000 10.6992 0.0000
0.0000 0.0000 3.9252
Li Cu Pd
10 2 4
Direct
0.0000 0.0000 0.0000
0.0038 0.2565 0.0000
0.2431 0.6199 0.5000
0.2569 0.1199 0.5000
0.4962 0.7565 0.0000
0.5000 0.5000 0.0000
0.5038 0.2435 0.0000
0.7431 0.8801 0.5000
0.7569 0.3801 0.5000
0.9962 0.7435 0.0000
0.0000 0.5000 0.0000
0.5000 0.0000 0.0000
0.2477 0.3753 0.5000
0.2523 0.8753 0.5000
0.7477 0.1247 0.5000
0.7523 0.6247 0.5000

Li4Cu2Pd3 | Alexandria | PBE | optimized geometry; theoretical density = 6409 kg/m3; DOS(E_F) = 2.6 states/eV/f.u.; E_form = -29.86 kJ/mol of atoms; space group = No. 2; uncorrected energy = -34.21 eV for the cell shown; excess energy over the best structure of this formula in the dataset = 0.0 meV per atom
1.0
4.5691 0.0000 0.0000
2.2578 4.0403 0.0000
1.5396 0.3901 6.6545
Li Cu Pd
4 2 3
Direct
0.1722 0.1547 0.0017
0.2764 0.5064 0.6636
0.7236 0.4936 0.3364
0.8278 0.8453 0.9983
0.3904 0.1646 0.3367
0.6096 0.8354 0.6633
0.0550 0.8251 0.3340
0.5000 0.5000 0.0000
0.9450 0.1749 0.6660

Li7Cu2Pd2 | Alexandria | PBE | optimized geometry; theoretical density = 3826 kg/m3; DOS(E_F) = 2.3 states/eV/f.u.; E_form = -13.80 kJ/mol of atoms; space group = No. 44; uncorrected energy = -33.55 eV for the cell shown; excess energy over the best structure of this formula in the dataset = 0.0 meV per atom
1.0
-1.3560 7.3549 4.2263
1.3560 -7.3549 4.2263
1.3560 7.3549 -4.2263
Li Cu Pd
7 2 2
Direct
0.0000 0.0000 0.0000
0.0136 0.6825 0.3311
0.3514 0.6825 0.6689
0.3663 0.4646 0.9016
0.5630 0.4646 0.0984
0.6057 0.2615 0.3442
0.9173 0.2615 0.6558
0.2632 0.7632 0.5000
0.7086 0.7086 0.0000
0.2194 0.9665 0.2529
0.7136 0.9665 0.7471